# 1
DFT (PBE-GGA) results for a relaxed structure of Ga3Se4.

```
Ga3Se4
1.0
5.720 0.000 0.000
0.000 5.720 0.000
0.000 0.000 5.720
Ga Se
3 4
direct
0.500 0.500 0.000 Ga
0.000 0.500 0.500 Ga
0.500 0.000 0.500 Ga
0.238 0.238 0.762 Se
0.762 0.238 0.238 Se
0.762 0.762 0.762 Se
0.238 0.762 0.238 Se
```

## Properties
ΔE_f (raw)	-496	meV per atom
spin magnetization	0.00	μB per formula unit
N(E_F)	2.12	states/eV/f.u.
SG	P-43m (215)
calculated density	4.7	g/cm3


# 2
DFT (PBE-GGA) results for a relaxed structure of GaSe.

```
GaSe
1.0
-9.365 -0.769 2.013
-0.658 -7.529 -5.935
1.115 -3.217 3.958
Ga Se
8 8
direct
0.609 0.852 0.000 Ga
0.645 0.159 0.500 Ga
0.355 0.841 0.500 Ga
0.148 0.609 0.000 Ga
0.852 0.391 0.000 Ga
0.159 0.355 0.500 Ga
0.841 0.645 0.500 Ga
0.391 0.148 0.000 Ga
0.622 0.803 0.500 Se
0.803 0.378 0.500 Se
0.671 0.115 0.000 Se
0.378 0.197 0.500 Se
0.329 0.885 0.000 Se
0.197 0.622 0.500 Se
0.115 0.329 0.000 Se
0.885 0.671 0.000 Se
```

## Properties
ΔE_f (raw)	-309	meV per atom
spin magnetization	0.00	μB per formula unit
N(E_F)	0.80	states/eV/f.u.
SG	P4/m (83)
calculated density	4.1	g/cm3


# 3
DFT (PBE-GGA) results for a relaxed structure of GaSe.

```
GaSe
1.0
3.912 0.000 0.000
0.000 3.912 0.000
0.000 0.000 2.792
Ga Se
1 1
direct
0.500 0.500 0.500 Ga
0.000 0.000 0.500 Se
```

## Properties
ΔE_f (raw)	-163	meV per atom
spin magnetization	0.00	μB per formula unit
N(E_F)	1.25	states/eV/f.u.
SG	P4/mmm (123)
calculated density	5.8	g/cm3


# 4
DFT (PBE-GGA) results for a relaxed structure of GaSe.

```
GaSe
1.0
-2.382 -2.887 -1.189
1.345 0.041 3.689
-6.389 4.332 2.281
Se Ga
2 2
direct
0.667 0.333 0.212 Se
0.333 0.667 0.712 Se
0.333 0.667 0.370 Ga
0.667 0.333 0.870 Ga
```

## Properties
ΔE_f (raw)	-312	meV per atom
spin magnetization	0.00	μB per formula unit
N(E_F)	0.51	states/eV/f.u.
SG	P6_3mc (186)
calculated density	4.6	g/cm3


# 5
DFT (PBE-GGA) results for a relaxed structure of GaSe.

```
GaSe
1.0
3.830 0.000 0.000
0.000 3.830 0.000
0.000 0.000 5.989
Ga Se
2 2
direct
0.000 0.000 0.368 Ga
0.500 0.500 0.868 Ga
0.500 0.500 0.424 Se
0.000 0.000 0.924 Se
```

## Properties
ΔE_f (raw)	-375	meV per atom
spin magnetization	0.00	μB per formula unit
N(E_F)	0.70	states/eV/f.u.
SG	I4mm (107)
calculated density	5.6	g/cm3


# 6
DFT (PBE-GGA) results for a relaxed structure of GaSe.

```
GaSe
1.0
-3.791 -3.369 -2.017
-1.575 -1.500 5.468
-7.220 8.047 0.128
Se Ga
8 8
direct
0.500 0.000 0.500 Se
0.000 0.500 0.500 Se
0.000 0.011 0.250 Se
0.000 0.989 0.750 Se
0.500 0.511 0.250 Se
0.000 0.500 0.000 Se
0.500 0.489 0.750 Se
0.500 0.000 0.000 Se
0.500 0.038 0.750 Ga
0.000 0.538 0.750 Ga
0.000 0.462 0.250 Ga
0.500 0.500 0.500 Ga
0.500 0.500 0.000 Ga
0.000 0.000 0.000 Ga
0.000 0.000 0.500 Ga
0.500 0.962 0.250 Ga
```

## Properties
ΔE_f (raw)	-369	meV per atom
spin magnetization	0.00	μB per formula unit
N(E_F)	0.54	states/eV/f.u.
SG	Cmcm (63)
calculated density	5.7	g/cm3


Which formula does entry 6 have?
GaSe


Copy entry 6 word for word.
DFT (PBE-GGA) results for a relaxed structure of GaSe.

```
GaSe
1.0
-3.791 -3.369 -2.017
-1.575 -1.500 5.468
-7.220 8.047 0.128
Se Ga
8 8
direct
0.500 0.000 0.500 Se
0.000 0.500 0.500 Se
0.000 0.011 0.250 Se
0.000 0.989 0.750 Se
0.500 0.511 0.250 Se
0.000 0.500 0.000 Se
0.500 0.489 0.750 Se
0.500 0.000 0.000 Se
0.500 0.038 0.750 Ga
0.000 0.538 0.750 Ga
0.000 0.462 0.250 Ga
0.500 0.500 0.500 Ga
0.500 0.500 0.000 Ga
0.000 0.000 0.000 Ga
0.000 0.000 0.500 Ga
0.500 0.962 0.250 Ga
```

## Properties
ΔE_f (raw)	-369	meV per atom
spin magnetization	0.00	μB per formula unit
N(E_F)	0.54	states/eV/f.u.
SG	Cmcm (63)
calculated density	5.7	g/cm3